Material: ZrCd2Se
Method: DFT, PBE
State: relaxed

abc: 3.443 4.452 5.750
angles: 90.00 90.00 90.00
Element x y z (fractional)
Cd1 0.000 0.000 0.000
Se1 0.500 0.000 0.500
Cd2 0.500 0.500 0.000
Zr1 0.000 0.500 0.500

## Properties
Electronic total energy   -3.7216 eV/atom
Uncorrected formation energy   -0.2558 eV per atom
SG   Pmmm
Spin magnetization   0.00 μB per formula unit
DOS(E_F)   0.776 states/eV/atom

Material: ScReHg
Method: DFT, PBE
State: relaxed

abc: 3.124 3.124 6.859
angles: 90.00 90.00 120.00
Element x y z (fractional)
Sc1 0.333 0.667 0.643
Re1 0.667 0.333 0.349
Hg1 0.000 0.000 0.008

## Properties
Electronic total energy   -6.0505 eV/atom
SG   P3m1
Formation energy from the elements   0.31 eV per atom
Distance to the lowest polymorph of the same formula   0.0584 eV per atom
Spin magnetization   0.00 μB per formula unit
DOS(E_F)   0.927 states/eV/atom

Material: AcPaPdAu
Method: DFT, PBE
State: relaxed

abc: 5.243 5.243 5.243
angles: 60.00 60.00 60.00
Element x y z (fractional)
Pa1 0.750 0.750 0.750
Ac1 0.250 0.250 0.250
Pd1 0.000 0.000 0.000
Au1 0.500 0.500 0.500

## Properties
Electronic total energy   -5.8495 eV/atom
SG   F-43m
Formation energy from the elements   -0.33 eV per atom
Spin magnetization   1.18 μB per formula unit
DOS(E_F)   1.727 states/eV/atom

Material: PmPaPt6
Method: DFT, PBE
State: relaxed

abc: 4.182 4.182 8.327
angles: 90.00 90.00 90.00
Element x y z (fractional)
Pt1 0.500 0.000 0.742
Pt2 0.000 0.500 0.742
Pt3 0.500 0.500 0.500
Pa1 0.000 0.000 0.500
Pt4 0.500 0.000 0.258
Pm1 0.000 0.000 0.000
Pt5 0.000 0.500 0.258
Pt6 0.500 0.500 0.000

## Properties
Electronic total energy   -7.3261 eV/atom
SG   P4/mmm
Formation energy from the elements   -1.01 eV per atom
Spin magnetization   0.00 μB per formula unit
DOS(E_F)   0.225 states/eV/atom

Material: La8TlRh3Br4
Method: DFT, PBE
State: relaxed

abc: 8.633 9.285 8.632
angles: 117.72 120.00 90.00
Element x y z (fractional)
Rh1 0.500 0.500 0.000
Rh2 0.500 0.500 0.500
La1 0.291 0.299 0.045
La2 0.246 0.701 0.493
La3 0.735 0.705 0.470
Br1 0.500 0.000 0.000
Br2 0.000 0.000 0.500
Tl1 0.000 0.500 0.000
Br3 0.000 0.000 0.000
La4 0.709 0.701 0.955
La5 0.246 0.701 0.955
La6 0.754 0.299 0.045
Rh3 0.000 0.500 0.500
La7 0.265 0.295 0.530
La8 0.754 0.299 0.507
Br4 0.500 0.000 0.500

## Properties
Electronic total energy   -5.4492 eV/atom
Uncorrected formation energy   -1.0410 eV per atom
SG   R-3m
Spin magnetization   0.00 μB per formula unit
DOS(E_F)   0.901 states/eV/atom

Material: BaAlOs2
Method: DFT, PBE
State: relaxed

abc: 4.119 2.994 7.262
angles: 79.29 90.00 90.00
Element x y z (fractional)
Al1 0.000 0.395 0.422
Os1 0.500 0.370 0.212
Os2 0.000 0.986 0.114
Ba1 0.500 0.749 0.753

## Properties
Electronic total energy   -6.6424 eV/atom
SG   Pm
Formation energy from the elements   0.39 eV per atom
Spin magnetization   0.00 μB per formula unit
DOS(E_F)   0.534 states/eV/atom

Material: YTaAs2
Method: DFT, PBE
State: relaxed

abc: 3.913 3.913 5.468
angles: 90.00 90.00 90.00
Element x y z (fractional)
Ta1 0.000 0.000 0.375
As1 0.500 0.500 0.375
As2 0.000 0.000 0.875
Y1 0.500 0.500 0.875

## Properties
Electronic total energy   -7.5611 eV/atom
SG   P4/mmm
Formation energy from the elements   -0.66 eV per atom
Distance to the lowest polymorph of the same formula   0.1638 eV per atom
Spin magnetization   0.00 μB per formula unit
DOS(E_F)   0.652 states/eV/atom

Material: PuScOs2
Method: DFT, PBE
State: relaxed

abc: 3.296 4.668 4.668
angles: 90.00 90.00 90.00
Element x y z (fractional)
Os1 0.000 0.000 0.500
Sc1 0.500 0.500 0.500
Os2 0.000 0.500 0.000
Pu1 0.500 0.000 0.000

## Properties
Electronic total energy   -10.9550 eV/atom
SG   P4/mmm
Formation energy from the elements   -0.17 eV per atom
Spin magnetization   3.81 μB per formula unit
DOS(E_F)   1.288 states/eV/atom